# 1
This record from the Alexandria database describes a geometry-optimized PuZr2Pa4 structure. The functional is PBE.

Volume = 24.43 Å³ per atom
N(E_F) = 2.21 states/eV/atom

a = 5.0548 Å, b = 21.5535 Å, c = 3.1398 Å
α = 90.00°, β = 90.00°, γ = 90.00°
Last column: nearest neighbours and their distance in Å.
Space group Cmmm (No. 65)
Symmetry-distinct sites (fractional):
1 Pu 0.0000 0.0000 0.0000  10 Pa 3.10-3.30, 2 Pu 3.14
2 Zr 0.0000 0.2884 0.5000  4 Zr 3.02-3.14, 5 Pa 3.12-3.32
3 Pa 0.0000 0.1437 0.0000  1 Pu 3.10, 6 Pa 3.14-3.41, 4 Zr 3.32
4 Pa 0.0000 0.4334 0.5000  3 Pa 2.87-3.14, 1 Zr 3.12

# 2
This record from the Alexandria database describes a geometry-optimized CuRhS2 structure. The functional is PBE.

Volume = 15.67 Å³ per atom
Formation energy from raw total energies = -0.28 eV/atom
N(E_F) = 0.04 states/eV/atom

a = 6.1492 Å, b = 3.7488 Å, c = 5.4958 Å
α = 90.00°, β = 98.21°, γ = 90.00°
Last column: nearest neighbours and their distance in Å.
Space group C2 (No. 5)
Symmetry-distinct sites (fractional):
1 Cu 0.0000 0.0000 0.0000  4 S 2.36-2.38
2 Rh 0.0000 0.8027 0.5000  6 S 2.39-2.48
3 S 0.1858 0.3189 0.7228  2 Cu 2.36-2.38, 3 Rh 2.39-2.48

# 3
This record from the Alexandria database describes a geometry-optimized NiWBr structure. The functional is PBE.

Energy relative to the lowest polymorph listed for this composition = 65.9 meV/atom
Volume = 18.59 Å³ per atom
Formation energy from raw total energies = 0.65 eV/atom
N(E_F) = 1.12 states/eV/atom

a = 2.9578 Å, b = 2.9578 Å, c = 12.7474 Å
α = 90.00°, β = 90.00°, γ = 90.00°
Last column: nearest neighbours and their distance in Å.
Space group I4mm (No. 107)
Symmetry-distinct sites (fractional):
1 Ni 0.0000 0.0000 0.0000  4 W 2.56
2 W 0.0000 0.0000 0.3835  4 Ni 2.56, 4 Br 2.76
3 Br 0.0000 0.0000 0.7421  4 W 2.76, 4 Br 2.96

Sequential total moment output: 4.39 0.00 0.00 μB/f.u.
Sequential E_tot output: -9.81 -5.20 -6.15 eV/atom